(1)
VASP calculation (PBE) on an optimized crystal structure of Y2ZrUP4.

Results
* density: 6.16 g cm⁻³
* energy relative to the elements: -1.393 eV per atom

a = 6.7582 Å, b = 3.9108 Å, c = 6.8086 Å
α = 90.00°, β = 109.16°, γ = 90.00°
With the nearest neighbours (Å) after each atom.
Space group P2/m (No. 10)
One atom of each set of equivalent atoms:
Y 0.0000 0.0000 0.0000 (multiplicity 1)  6 P 2.80
Y 0.5000 0.5000 0.0000 (multiplicity 1)  6 P 2.83
Zr 0.0000 0.5000 0.5000 (multiplicity 1)  6 P 2.70-2.71
U 0.5000 0.0000 0.5000 (multiplicity 1)  6 P 2.73-2.75
P 0.2428 0.0000 0.7361 (multiplicity 2)  2 Zr 2.71, 1 U 2.73, 3 Y 2.80-2.83
P 0.2490 0.5000 0.2601 (multiplicity 2)  1 Zr 2.70, 2 U 2.75, 3 Y 2.80-2.83

---

(2)
VASP calculation (PBE) on an optimized crystal structure of LiB2Ru2.

Results
* density: 7.83 g cm⁻³
* energy relative to the elements: -0.332 eV per atom

a = 5.8243 Å, b = 5.8243 Å, c = 2.8839 Å
α = 90.00°, β = 90.00°, γ = 90.00°
With the nearest neighbours (Å) after each atom.
Space group P4/mbm (No. 127)
One atom of each set of equivalent atoms:
Li 0.0000 0.0000 0.0000 (multiplicity 2)  4 B 2.33, 8 Ru 2.60
B 0.1186 0.3814 0.0000 (multiplicity 4)  1 B 1.95
Ru 0.1705 0.6705 0.5000 (multiplicity 4)  6 B 2.24-2.26

---

(3)
VASP calculation (PBE) on an optimized crystal structure of Th2Be4ZnIr3.

Results
* density: 12.01 g cm⁻³
* energy relative to the elements: -0.545 eV per atom

a = 3.9503 Å, b = 3.9503 Å, c = 10.1173 Å
α = 90.00°, β = 90.00°, γ = 90.00°
With the nearest neighbours (Å) after each atom.
Space group P-4m2 (No. 115)
One atom of each set of equivalent atoms:
Th 0.0000 0.5000 0.2457 (multiplicity 2)  6 Ir 3.02-3.24, 8 Be 3.08-3.18, 2 Zn 3.24
Be 0.0000 0.0000 0.0000 (multiplicity 1)  4 Ir 2.38
Be 0.0000 0.5000 0.6259 (multiplicity 2)  3 Ir 2.35-2.46, 2 Zn 2.35
Be 0.5000 0.5000 0.0000 (multiplicity 1)  4 Ir 2.38
Zn 0.0000 0.0000 0.5000 (multiplicity 1)  4 Be 2.35
Ir 0.0000 0.5000 0.8690 (multiplicity 2)  5 Be 2.38-2.46
Ir 0.5000 0.5000 0.5000 (multiplicity 1)  4 Be 2.35

---

(4)
VASP calculation (PBE) on an optimized crystal structure of Hf3SbP.

Results
* density: 11.01 g cm⁻³
* formation energy from raw total energies: -73.0 kJ per mole of atoms

a = 6.3185 Å, b = 3.8877 Å, c = 8.4886 Å
α = 90.00°, β = 95.41°, γ = 90.00°
With the nearest neighbours (Å) after each atom.
Space group P2_1/m (No. 11)
One atom of each set of equivalent atoms:
Hf 0.0190 0.2500 0.1664 (multiplicity 2)  3 P 2.59-2.61
Hf 0.1797 0.2500 0.5915 (multiplicity 2)  1 P 2.77, 2 Sb 2.96
Hf 0.4758 0.7500 0.8377 (multiplicity 2)  3 P 2.60-2.62
Sb 0.3004 0.7500 0.3532 (multiplicity 2)  8 Hf 2.96-3.27
P 0.2363 0.2500 0.9193 (multiplicity 2)  7 Hf 2.59-2.77

---

(5)
VASP calculation (PBE) on an optimized crystal structure of SrMg3.

Results
* density: 2.22 g cm⁻³
* energy relative to the elements: 0.037 eV per atom

a = 6.3949 Å, b = 10.9131 Å, c = 6.8709 Å
α = 90.00°, β = 90.00°, γ = 90.00°
With the nearest neighbours (Å) after each atom.
Space group Pnma (No. 62)
One atom of each set of equivalent atoms:
Sr 0.0384 0.2500 0.0709 (multiplicity 4)  8 Mg 3.28-3.57
Mg 0.0550 0.2500 0.5868 (multiplicity 4)  2 Mg 3.10, 2 Sr 3.28-3.33
Mg 0.1885 0.5112 0.3229 (multiplicity 8)  4 Mg 3.10-3.43

---

(6)
VASP calculation (PBE) on an optimized crystal structure of TbSnGeAu.

Results
* density: 9.95 g cm⁻³
* energy relative to the elements: -0.392 eV per atom

a = 7.1479 Å, b = 7.1479 Å, c = 7.1479 Å
α = 90.00°, β = 90.00°, γ = 90.00°
With the nearest neighbours (Å) after each atom.
Space group F-43m (No. 216)
One atom of each set of equivalent atoms:
Tb 0.0000 0.0000 0.0000 (multiplicity 4)  4 Ge 3.10, 4 Au 3.10
Sn 0.0000 0.0000 0.5000 (multiplicity 4)  4 Ge 3.10, 4 Au 3.10
Ge 0.2500 0.2500 0.7500 (multiplicity 4)  4 Tb 3.10, 4 Sn 3.10
Au 0.2500 0.2500 0.2500 (multiplicity 4)  4 Tb 3.10, 4 Sn 3.10

---

(7)
VASP calculation (PBE) on an optimized crystal structure of SiAu2Cl.

Results
* density: 9.79 g cm⁻³
* formation energy from raw total energies: 23.1 kJ per mole of atoms

a = 3.0446 Å, b = 5.4709 Å, c = 9.3213 Å
α = 90.00°, β = 90.00°, γ = 90.00°
With the nearest neighbours (Å) after each atom.
Space group Imm2 (No. 44)
One atom of each set of equivalent atoms:
Si 0.0000 0.0000 0.0000 (multiplicity 2)  2 Cl 2.42, 2 Au 2.45
Au 0.0000 0.0000 0.4725 (multiplicity 2)  4 Au 2.92-3.04, 4 Si 3.14, 2 Cl 3.18
Au 0.0000 0.5000 0.7057 (multiplicity 2)  2 Si 2.45
Cl 0.0000 0.5000 0.2984 (multiplicity 2)  2 Si 2.42

---

(8)
VASP calculation (PBE) on an optimized crystal structure of Pm7Au4O.

Results
* density: 9.03 g cm⁻³
* formation energy from raw total energies: -83.6 kJ per mole of atoms

a = 15.7558 Å, b = 4.9702 Å, c = 10.9954 Å
α = 90.00°, β = 129.01°, γ = 90.00°
With the nearest neighbours (Å) after each atom.
Space group C2/m (No. 12)
One atom of each set of equivalent atoms:
Pm 0.0000 0.0000 0.0000 (multiplicity 2)  2 O 2.49
Pm 0.0592 0.5000 0.2505 (multiplicity 4)  1 O 2.29
Pm 0.1322 0.0000 0.5465 (multiplicity 4)  5 Au 3.05-3.20
Pm 0.2174 0.5000 0.8492 (multiplicity 4)  4 Au 3.01-3.11
Au 0.0876 0.0000 0.7935 (multiplicity 4)  8 Pm 3.03-3.32
Au 0.2280 0.0000 0.3686 (multiplicity 4)  8 Pm 3.01-3.33
O 0.0000 0.5000 0.0000 (multiplicity 2)  4 Pm 2.29-2.49

---

density of number 7 (SiAu2Cl)? 9.79 g cm⁻³

---

Which of these has the lowest density? SrMg3

---

Repeat the eighth record exactly.
VASP calculation (PBE) on an optimized crystal structure of Pm7Au4O.

Results
* density: 9.03 g cm⁻³
* formation energy from raw total energies: -83.6 kJ per mole of atoms

a = 15.7558 Å, b = 4.9702 Å, c = 10.9954 Å
α = 90.00°, β = 129.01°, γ = 90.00°
With the nearest neighbours (Å) after each atom.
Space group C2/m (No. 12)
One atom of each set of equivalent atoms:
Pm 0.0000 0.0000 0.0000 (multiplicity 2)  2 O 2.49
Pm 0.0592 0.5000 0.2505 (multiplicity 4)  1 O 2.29
Pm 0.1322 0.0000 0.5465 (multiplicity 4)  5 Au 3.05-3.20
Pm 0.2174 0.5000 0.8492 (multiplicity 4)  4 Au 3.01-3.11
Au 0.0876 0.0000 0.7935 (multiplicity 4)  8 Pm 3.03-3.32
Au 0.2280 0.0000 0.3686 (multiplicity 4)  8 Pm 3.01-3.33
O 0.0000 0.5000 0.0000 (multiplicity 2)  4 Pm 2.29-2.49